Here is a relaxed structure of La2NiPO from the Alexandria database. Energies are from PBE with a Hubbard U.

Properties
Total magnetic moment in μB/cell: 0.0
VASP energy in eV/atom: -5.115
Fermi-level density of states in states/eV/cell: 4.22

POSCAR file:
```
La2NiPO
1.0
5.286 0.000 0.000
0.000 4.007 0.000
0.000 0.000 5.286
La O Ni P
2 1 1 1
direct
0.000 0.000 0.500
0.500 0.000 0.000
0.500 0.500 0.500
0.000 0.000 0.000
0.000 0.500 0.000
```